[1]
# Tm3Al3Ag | the Alexandria database | PBE | optimized geometry
data_Tm3Al3Ag
_chemical_formula_sum 'Tm12 Al12 Ag4'
_cell_length_a 10.781
_cell_length_b 4.460
_cell_length_c 14.199
_cell_angle_alpha 90.00
_cell_angle_beta 109.52
_cell_angle_gamma 90.00
_space_group_name_H-M_alt 'C 1 2/m 1'
_space_group_IT_number 12
loop_
_space_group_symop_operation_xyz
'x,y,z'
'-x,-y,-z'
'-x,y,-z'
'x,-y,z'
'x+1/2,y+1/2,z'
'-x+1/2,-y+1/2,-z'
'-x+1/2,y+1/2,-z'
'x+1/2,-y+1/2,z'
loop_
_atom_site_label
_atom_site_type_symbol
_atom_site_fract_x
_atom_site_fract_y
_atom_site_fract_z
Tm1 Tm 0.030 0.000 0.380
Tm2 Tm 0.102 0.000 0.922
Tm3 Tm 0.237 0.000 0.223
Al1 Al 0.030 0.500 0.231
Al2 Al 0.110 0.500 0.075
Al3 Al 0.129 0.500 0.544
Ag1 Ag 0.245 0.500 0.395
# VASP energy = -4.31 eV/atom
# Fermi-level density of states = 4.76 states/eV/f.u.

[2]
# Li2GaIr2 | the Alexandria database | PBE | optimized geometry
data_Li2GaIr2
_chemical_formula_sum 'Li4 Ga2 Ir4'
_cell_length_a 6.257
_cell_length_b 6.257
_cell_length_c 4.123
_cell_angle_alpha 90.00
_cell_angle_beta 90.00
_cell_angle_gamma 90.00
_space_group_name_H-M_alt 'P 4/m b m'
_space_group_IT_number 127
_space_group_name_Hall '-P 4 2ab'
loop_
_atom_site_label
_atom_site_type_symbol
_atom_site_fract_x
_atom_site_fract_y
_atom_site_fract_z
Li1 Li 0.160 0.340 0.000
Ga1 Ga 0.000 0.000 0.500
Ir1 Ir 0.139 0.639 0.500
# Offset from the most stable computed form = 0.137 eV per atom
# VASP energy = -5.04 eV/atom
# Fermi-level density of states = 4.23 states/eV/f.u.

[3]
# NiHgBPC | the Alexandria database | PBE | optimized geometry
data_NiHgBPC
_chemical_formula_sum 'Ni1 Hg1 B1 P1 C1'
_cell_length_a 3.1216
_cell_length_b 3.1216
_cell_length_c 7.7467
_cell_angle_alpha 90.00
_cell_angle_beta 90.00
_cell_angle_gamma 120.00
_space_group_name_H-M_alt 'P 3 m 1'
_space_group_IT_number 156
loop_
_space_group_symop_operation_xyz
'x,y,z'
'-y,x-y,z'
'-x+y,-x,z'
'-y,-x,z'
'-x+y,y,z'
'x,x-y,z'
loop_
_atom_site_label
_atom_site_type_symbol
_atom_site_fract_x
_atom_site_fract_y
_atom_site_fract_z
Ni1 Ni 0.0000 0.0000 0.0000
Hg1 Hg 0.6667 0.3333 0.7093
B1 B 0.6667 0.3333 0.4090
P1 P 0.3333 0.6667 0.3316
C1 C 0.3333 0.6667 0.0955
# Offset from the most stable computed form = 0.031 eV per atom
# VASP energy = -5.17 eV/atom
# Fermi-level density of states = 1.25 states/eV/f.u.

[4]
# Ni5Pb3 | the Alexandria database | PBE | optimized geometry
data_Ni5Pb3
_chemical_formula_sum 'Ni10 Pb6'
_cell_length_a 6.871
_cell_length_b 8.634
_cell_length_c 4.331
_cell_angle_alpha 90.00
_cell_angle_beta 90.00
_cell_angle_gamma 90.00
_space_group_name_H-M_alt 'C m m m'
_space_group_IT_number 65
_space_group_name_Hall '-C 2 2'
loop_
_atom_site_label
_atom_site_type_symbol
_atom_site_fract_x
_atom_site_fract_y
_atom_site_fract_z
Ni1 Ni 0.000 0.000 0.000
Ni2 Ni 0.205 0.500 0.500
Ni3 Ni 0.250 0.250 0.000
Pb1 Pb 0.000 0.201 0.500
Pb2 Pb 0.000 0.500 0.000
# VASP energy = -4.73 eV/atom
# Fermi-level density of states = 7.41 states/eV/f.u.

[5]
# TlInOs2Au | the Alexandria database | PBE | optimized geometry
data_TlInOs2Au
_chemical_formula_sum 'Tl1 In1 Os2 Au1'
_cell_length_a 5.099
_cell_length_b 5.099
_cell_length_c 5.091
_cell_angle_alpha 90.00
_cell_angle_beta 90.00
_cell_angle_gamma 90.00
_space_group_name_H-M_alt 'P 4/m m m'
_space_group_IT_number 123
_space_group_name_Hall '-P 4 2'
loop_
_atom_site_label
_atom_site_type_symbol
_atom_site_fract_x
_atom_site_fract_y
_atom_site_fract_z
Tl1 Tl 0.000 0.000 0.000
In1 In 0.500 0.500 0.000
Os1 Os 0.000 0.500 0.500
Au1 Au 0.500 0.500 0.500
# VASP energy = -4.27 eV/atom
# Fermi-level density of states = 4.53 states/eV/f.u.

[6]
# Na4PdAu | the Alexandria database | PBE | optimized geometry
data_Na4PdAu
_chemical_formula_sum 'Na8 Pd2 Au2'
_cell_length_a 8.542
_cell_length_b 4.942
_cell_length_c 8.485
_cell_angle_alpha 90.00
_cell_angle_beta 109.92
_cell_angle_gamma 90.00
_space_group_name_H-M_alt 'C 1 2/m 1'
_space_group_IT_number 12
loop_
_space_group_symop_operation_xyz
'x,y,z'
'-x,-y,-z'
'-x,y,-z'
'x,-y,z'
'x+1/2,y+1/2,z'
'-x+1/2,-y+1/2,-z'
'-x+1/2,y+1/2,-z'
'x+1/2,-y+1/2,z'
loop_
_atom_site_label
_atom_site_type_symbol
_atom_site_fract_x
_atom_site_fract_y
_atom_site_fract_z
Na1 Na 0.121 0.000 0.365
Na2 Na 0.129 0.500 0.887
Pd1 Pd 0.000 0.000 0.000
Au1 Au 0.000 0.500 0.500
# Offset from the most stable computed form = 0.110 eV per atom
# VASP energy = -2.36 eV/atom
# Fermi-level density of states = 3.41 states/eV/f.u.

Number 1: formation energy from the elements -2.7 eV per formula unit. Number 2: formation energy from the elements -0.6 eV per formula unit. Number 3: formation energy from the elements 1.5 eV per formula unit. Number 4: formation energy from the elements 2.2 eV per formula unit. Number 5: formation energy from the elements 9.5 eV per formula unit. Number 6: formation energy from the elements -0.4 eV per formula unit.